No. 1
! PaTaAsO | OQMD | PBE-GGA | relaxed; values from VASP
! distance to the lowest polymorph of the same formula: 0.00 kcal/mol of atoms
! space-group type: P4/nmm (129)
! E_tot: -9.440 eV per atom
&SYSTEM
  ibrav = 0, nat = 8, ntyp = 4
/
ATOMIC_SPECIES
Pa 231.04 Pa.upf
Ta 180.95 Ta.upf
As 74.92 As.upf
O 16.00 O.upf
CELL_PARAMETERS angstrom
3.9735 0.0000 0.0000
0.0000 3.9735 0.0000
0.0000 0.0000 9.1037
ATOMIC_POSITIONS crystal
Pa 0.2500 0.2500 0.1481
Pa 0.7500 0.7500 0.8519
Ta 0.2500 0.7500 0.5000
Ta 0.7500 0.2500 0.5000
As 0.2500 0.2500 0.7003
As 0.7500 0.7500 0.2997
O 0.2500 0.7500 0.0000
O 0.7500 0.2500 0.0000



No. 2
! TbPaAsO | OQMD | PBE-GGA | relaxed; values from VASP
! distance to the lowest polymorph of the same formula: 0.00 kcal/mol of atoms
! space-group type: P4/nmm (129)
! E_tot: -7.251 eV per atom
&SYSTEM
  ibrav = 0, nat = 8, ntyp = 4
/
ATOMIC_SPECIES
Tb 158.93 Tb.upf
Pa 231.04 Pa.upf
As 74.92 As.upf
O 16.00 O.upf
CELL_PARAMETERS angstrom
4.2122 0.0000 0.0000
0.0000 4.2122 0.0000
0.0000 0.0000 9.1897
ATOMIC_POSITIONS crystal
Tb 0.2500 0.7500 0.0000
Tb 0.7500 0.2500 0.0000
Pa 0.2500 0.2500 0.3673
Pa 0.7500 0.7500 0.6327
As 0.2500 0.2500 0.7759
As 0.7500 0.7500 0.2241
O 0.2500 0.7500 0.5000
O 0.7500 0.2500 0.5000



No. 3
! TbPaAsO | OQMD | PBE-GGA | relaxed; values from VASP
! distance to the lowest polymorph of the same formula: 0.66 kcal/mol of atoms
! space-group type: P4/nmm (129)
! E_tot: -7.223 eV per atom
&SYSTEM
  ibrav = 0, nat = 8, ntyp = 4
/
ATOMIC_SPECIES
Tb 158.93 Tb.upf
Pa 231.04 Pa.upf
As 74.92 As.upf
O 16.00 O.upf
CELL_PARAMETERS angstrom
4.2191 0.0000 0.0000
0.0000 4.2191 0.0000
0.0000 0.0000 9.3710
ATOMIC_POSITIONS crystal
Tb 0.2500 0.2500 0.1029
Tb 0.7500 0.7500 0.8971
Pa 0.2500 0.7500 0.5000
Pa 0.7500 0.2500 0.5000
As 0.2500 0.2500 0.7232
As 0.7500 0.7500 0.2768
O 0.2500 0.7500 0.0000
O 0.7500 0.2500 0.0000



No. 4
! PaTcAsO | OQMD | PBE-GGA | relaxed; values from VASP
! distance to the lowest polymorph of the same formula: 36.94 kcal/mol of atoms
! space-group type: P4/nmm (129)
! E_tot: -6.923 eV per atom
&SYSTEM
  ibrav = 0, nat = 8, ntyp = 4
/
ATOMIC_SPECIES
Pa 231.04 Pa.upf
Tc 98.00 Tc.upf
As 74.92 As.upf
O 16.00 O.upf
CELL_PARAMETERS angstrom
4.1997 0.0000 0.0000
0.0000 4.1997 0.0000
0.0000 0.0000 7.1963
ATOMIC_POSITIONS crystal
Pa 0.2500 0.7500 0.0000
Pa 0.7500 0.2500 0.0000
Tc 0.2500 0.2500 0.3558
Tc 0.7500 0.7500 0.6442
As 0.2500 0.2500 0.7061
As 0.7500 0.7500 0.2939
O 0.2500 0.7500 0.5000
O 0.7500 0.2500 0.5000



No. 5
! PaTcAsO | OQMD | PBE-GGA | relaxed; values from VASP
! distance to the lowest polymorph of the same formula: 38.45 kcal/mol of atoms
! space-group type: P4/nmm (129)
! E_tot: -6.858 eV per atom
&SYSTEM
  ibrav = 0, nat = 8, ntyp = 4
/
ATOMIC_SPECIES
Pa 231.04 Pa.upf
Tc 98.00 Tc.upf
As 74.92 As.upf
O 16.00 O.upf
CELL_PARAMETERS angstrom
4.2545 0.0000 0.0000
0.0000 4.2545 0.0000
0.0000 0.0000 7.7008
ATOMIC_POSITIONS crystal
Pa 0.2500 0.7500 0.0000
Pa 0.7500 0.2500 0.0000
Tc 0.2500 0.2500 0.4179
Tc 0.7500 0.7500 0.5821
As 0.2500 0.2500 0.7432
As 0.7500 0.7500 0.2568
O 0.2500 0.7500 0.5000
O 0.7500 0.2500 0.5000



No. 6
! PaTcAsO | OQMD | PBE-GGA | relaxed; values from VASP
! distance to the lowest polymorph of the same formula: 0.00 kcal/mol of atoms
! space-group type: P4/nmm (129)
! E_tot: -8.525 eV per atom
&SYSTEM
  ibrav = 0, nat = 8, ntyp = 4
/
ATOMIC_SPECIES
Pa 231.04 Pa.upf
Tc 98.00 Tc.upf
As 74.92 As.upf
O 16.00 O.upf
CELL_PARAMETERS angstrom
4.1484 0.0000 0.0000
0.0000 4.1484 0.0000
0.0000 0.0000 7.8686
ATOMIC_POSITIONS crystal
Pa 0.2500 0.2500 0.1595
Pa 0.7500 0.7500 0.8405
Tc 0.2500 0.7500 0.5000
Tc 0.7500 0.2500 0.5000
As 0.2500 0.2500 0.6701
As 0.7500 0.7500 0.3299
O 0.2500 0.7500 0.0000
O 0.7500 0.2500 0.0000



No. 7
! PaTlAsO | OQMD | PBE-GGA | relaxed; values from VASP
! distance to the lowest polymorph of the same formula: 24.51 kcal/mol of atoms
! space-group type: P4/nmm (129)
! E_tot: -5.253 eV per atom
&SYSTEM
  ibrav = 0, nat = 8, ntyp = 4
/
ATOMIC_SPECIES
Pa 231.04 Pa.upf
Tl 204.38 Tl.upf
As 74.92 As.upf
O 16.00 O.upf
CELL_PARAMETERS angstrom
4.7364 0.0000 0.0000
0.0000 4.7364 0.0000
0.0000 0.0000 7.0051
ATOMIC_POSITIONS crystal
Pa 0.2500 0.7500 0.0000
Pa 0.7500 0.2500 0.0000
Tl 0.2500 0.2500 0.3709
Tl 0.7500 0.7500 0.6291
As 0.2500 0.2500 0.7808
As 0.7500 0.7500 0.2192
O 0.2500 0.7500 0.5000
O 0.7500 0.2500 0.5000



No. 8
! PaTlAsO | OQMD | PBE-GGA | relaxed; values from VASP
! distance to the lowest polymorph of the same formula: 0.00 kcal/mol of atoms
! space-group type: P4/nmm (129)
! E_tot: -6.315 eV per atom
&SYSTEM
  ibrav = 0, nat = 8, ntyp = 4
/
ATOMIC_SPECIES
Pa 231.04 Pa.upf
Tl 204.38 Tl.upf
As 74.92 As.upf
O 16.00 O.upf
CELL_PARAMETERS angstrom
4.0919 0.0000 0.0000
0.0000 4.0919 0.0000
0.0000 0.0000 10.4936
ATOMIC_POSITIONS crystal
Pa 0.2500 0.2500 0.1227
Pa 0.7500 0.7500 0.8773
Tl 0.2500 0.7500 0.5000
Tl 0.7500 0.2500 0.5000
As 0.2500 0.2500 0.7494
As 0.7500 0.7500 0.2506
O 0.2500 0.7500 0.0000
O 0.7500 0.2500 0.0000



No. 9
! TmPaAsO | OQMD | PBE-GGA | relaxed; values from VASP
! distance to the lowest polymorph of the same formula: 11.38 kcal/mol of atoms
! space-group type: P4/nmm (129)
! E_tot: -7.224 eV per atom
&SYSTEM
  ibrav = 0, nat = 8, ntyp = 4
/
ATOMIC_SPECIES
Tm 168.93 Tm.upf
Pa 231.04 Pa.upf
As 74.92 As.upf
O 16.00 O.upf
CELL_PARAMETERS angstrom
4.1898 0.0000 0.0000
0.0000 4.1898 0.0000
0.0000 0.0000 9.0760
ATOMIC_POSITIONS crystal
Tm 0.2500 0.7500 0.0000
Tm 0.7500 0.2500 0.0000
Pa 0.2500 0.2500 0.3635
Pa 0.7500 0.7500 0.6365
As 0.2500 0.2500 0.7807
As 0.7500 0.7500 0.2193
O 0.2500 0.7500 0.5000
O 0.7500 0.2500 0.5000



No. 10
! TmPaAsO | OQMD | PBE-GGA | relaxed; values from VASP
! distance to the lowest polymorph of the same formula: 0.00 kcal/mol of atoms
! space-group type: P4/nmm (129)
! E_tot: -7.718 eV per atom
&SYSTEM
  ibrav = 0, nat = 8, ntyp = 4
/
ATOMIC_SPECIES
Tm 168.93 Tm.upf
Pa 231.04 Pa.upf
As 74.92 As.upf
O 16.00 O.upf
CELL_PARAMETERS angstrom
4.1947 0.0000 0.0000
0.0000 4.1947 0.0000
0.0000 0.0000 9.2174
ATOMIC_POSITIONS crystal
Tm 0.2500 0.2500 0.0969
Tm 0.7500 0.7500 0.9031
Pa 0.2500 0.7500 0.5000
Pa 0.7500 0.2500 0.5000
As 0.2500 0.2500 0.7273
As 0.7500 0.7500 0.2727
O 0.2500 0.7500 0.0000
O 0.7500 0.2500 0.0000



No. 11
! ZrPaAsO | OQMD | PBE-GGA | relaxed; values from VASP
! distance to the lowest polymorph of the same formula: 14.65 kcal/mol of atoms
! space-group type: P4/nmm (129)
! E_tot: -7.712 eV per atom
&SYSTEM
  ibrav = 0, nat = 8, ntyp = 4
/
ATOMIC_SPECIES
Zr 91.22 Zr.upf
Pa 231.04 Pa.upf
As 74.92 As.upf
O 16.00 O.upf
CELL_PARAMETERS angstrom
4.1776 0.0000 0.0000
0.0000 4.1776 0.0000
0.0000 0.0000 8.5319
ATOMIC_POSITIONS crystal
Zr 0.2500 0.2500 0.1022
Zr 0.7500 0.7500 0.8978
Pa 0.2500 0.7500 0.5000
Pa 0.7500 0.2500 0.5000
As 0.2500 0.2500 0.7476
As 0.7500 0.7500 0.2524
O 0.2500 0.7500 0.0000
O 0.7500 0.2500 0.0000



No. 12
! ZrPaAsO | OQMD | PBE-GGA | relaxed; values from VASP
! distance to the lowest polymorph of the same formula: 7.78 kcal/mol of atoms
! space-group type: Pmc2_1 (26)
! E_tot: -8.010 eV per atom
&SYSTEM
  ibrav = 0, nat = 8, ntyp = 4
/
ATOMIC_SPECIES
Zr 91.22 Zr.upf
Pa 231.04 Pa.upf
As 74.92 As.upf
O 16.00 O.upf
CELL_PARAMETERS angstrom
3.9912 0.0000 0.0000
0.0000 7.5865 0.0000
0.0000 0.0000 5.9107
ATOMIC_POSITIONS crystal
Zr 0.0000 0.0976 0.0000
Zr 0.0000 0.9024 0.5000
Pa 0.5000 0.2779 0.4841
Pa 0.5000 0.7221 0.9841
As 0.5000 0.3410 0.9759
As 0.5000 0.6590 0.4759
O 0.0000 0.1719 0.3587
O 0.0000 0.8281 0.8587



Repeat the second record exactly.
! TbPaAsO | OQMD | PBE-GGA | relaxed; values from VASP
! distance to the lowest polymorph of the same formula: 0.00 kcal/mol of atoms
! space-group type: P4/nmm (129)
! E_tot: -7.251 eV per atom
&SYSTEM
  ibrav = 0, nat = 8, ntyp = 4
/
ATOMIC_SPECIES
Tb 158.93 Tb.upf
Pa 231.04 Pa.upf
As 74.92 As.upf
O 16.00 O.upf
CELL_PARAMETERS angstrom
4.2122 0.0000 0.0000
0.0000 4.2122 0.0000
0.0000 0.0000 9.1897
ATOMIC_POSITIONS crystal
Tb 0.2500 0.7500 0.0000
Tb 0.7500 0.2500 0.0000
Pa 0.2500 0.2500 0.3673
Pa 0.7500 0.7500 0.6327
As 0.2500 0.2500 0.7759
As 0.7500 0.7500 0.2241
O 0.2500 0.7500 0.5000
O 0.7500 0.2500 0.5000



Please write out number 1 again, unchanged.
! PaTaAsO | OQMD | PBE-GGA | relaxed; values from VASP
! distance to the lowest polymorph of the same formula: 0.00 kcal/mol of atoms
! space-group type: P4/nmm (129)
! E_tot: -9.440 eV per atom
&SYSTEM
  ibrav = 0, nat = 8, ntyp = 4
/
ATOMIC_SPECIES
Pa 231.04 Pa.upf
Ta 180.95 Ta.upf
As 74.92 As.upf
O 16.00 O.upf
CELL_PARAMETERS angstrom
3.9735 0.0000 0.0000
0.0000 3.9735 0.0000
0.0000 0.0000 9.1037
ATOMIC_POSITIONS crystal
Pa 0.2500 0.2500 0.1481
Pa 0.7500 0.7500 0.8519
Ta 0.2500 0.7500 0.5000
Ta 0.7500 0.2500 0.5000
As 0.2500 0.2500 0.7003
As 0.7500 0.7500 0.2997
O 0.2500 0.7500 0.0000
O 0.7500 0.2500 0.0000